Entry 1:
First-principles (PBE) data for crystalline LiLa2RuPb at its relaxed geometry, as listed in Alexandria via LeMat-Bulk.

The structure in extended XYZ format:
```
5
Lattice="5.330 0.000 0.000 0.000 5.330 0.000 0.000 0.000 4.945" Properties=species:S:1:pos:R:3 pbc="T T T"
Li 0.000 0.000 0.000
La 0.000 2.665 2.473
La 2.665 0.000 2.473
Ru 0.000 0.000 2.473
Pb 2.665 2.665 0.000
```

D(E_F) (states/eV per cell): 3.4
V (Å³/f.u.): 140.5
ΔH_f (0 K) (meV/atom): -239
SG: No. 123

---

Entry 2:
First-principles (PBE) data for crystalline Ca2AgPt2 at its relaxed geometry, as listed in Alexandria via LeMat-Bulk.

The structure in extended XYZ format:
```
10
Lattice="3.805 0.000 0.000 0.000 3.805 0.000 0.000 0.000 16.646" Properties=species:S:1:pos:R:3 pbc="T T T"
Ca 0.000 0.000 1.931
Ca 0.000 0.000 14.715
Ca 1.903 1.903 6.392
Ca 1.903 1.903 10.255
Ag 0.000 0.000 8.323
Ag 1.903 1.903 0.000
Pt 0.000 1.903 4.162
Pt 0.000 1.903 12.485
Pt 1.903 0.000 4.162
Pt 1.903 0.000 12.485
```

D(E_F) (states/eV per cell): 6.5
V (Å³/f.u.): 120.5
ΔH_f (0 K) (meV/atom): -483
SG: No. 139